(1)
A plane-wave DFT calculation with PBE-GGA was carried out for an optimized crystal structure of TlSbPb2.

Properties
polymorph energy (0 for the lowest one) = 26 meV/atom
raw formation energy = 0.04 eV per atom
DOS at the Fermi energy = 1.7 states/eV/cell

POSCAR file:
```
TlSbPb2
1.0
3.3787 0.0000 0.0000
0.0000 5.8511 0.0000
-0.1710 0.0000 6.2580
Tl Sb Pb
1 1 2
Direct
0.0000 0.0000 0.0000
0.5000 0.0000 0.5000
0.3266 0.5000 0.7442
0.6734 0.5000 0.2558
```

***

(2)
A plane-wave DFT calculation with PBE-GGA was carried out for an optimized crystal structure of Zr2FeSi4Ir3.

Properties
raw formation energy = -0.82 eV per atom
DOS at the Fermi energy = 7.7 states/eV/cell

POSCAR file:
```
Zr2FeSi4Ir3
1.0
3.9970 0.0000 0.0000
0.0000 3.9970 0.0000
0.0000 0.0000 9.7721
Zr Fe Si Ir
2 1 4 3
Direct
0.0000 0.5000 0.2378
0.5000 0.0000 0.7622
0.5000 0.5000 0.0000
0.0000 0.0000 0.5000
0.0000 0.5000 0.8723
0.5000 0.0000 0.1277
0.5000 0.5000 0.5000
0.0000 0.0000 0.0000
0.0000 0.5000 0.6335
0.5000 0.0000 0.3665
```

***

(3)
A plane-wave DFT calculation with PBE-GGA was carried out for an optimized crystal structure of Ac2Mg6Cu3.

Properties
formation energy = -0.0608 eV per atom
DOS at the Fermi energy = 8.0 states/eV/cell

POSCAR file:
```
Ac2Mg6Cu3
1.0
8.7271 0.0000 0.0000
-4.3635 7.5579 0.0000
0.0000 0.0000 4.0421
Ac Mg Cu
2 6 3
Direct
0.3333 0.6667 0.0000
0.6667 0.3333 0.0000
0.0000 0.2007 0.0000
0.0000 0.6994 0.5000
0.2007 0.0000 0.0000
0.3006 0.3006 0.5000
0.6994 0.0000 0.5000
0.7993 0.7993 0.0000
0.0000 0.3917 0.5000
0.3917 0.0000 0.5000
0.6083 0.6083 0.5000
```

***

(4)
A plane-wave DFT calculation with PBE-GGA was carried out for an optimized crystal structure of Eu3V5N12.

Properties
raw formation energy = -0.62 eV per atom
DOS at the Fermi energy = 46.1 states/eV/cell

POSCAR file:
```
Eu3V5N12
1.0
-6.2852 6.2852 6.2852
6.2852 -6.2852 6.2852
6.2852 6.2852 -6.2852
Eu V N
12 20 48
Direct
0.1250 0.2500 0.3750
0.1250 0.3750 0.7500
0.2500 0.3750 0.1250
0.2500 0.8750 0.6250
0.3750 0.1250 0.2500
0.3750 0.7500 0.1250
0.6250 0.2500 0.8750
0.6250 0.8750 0.7500
0.7500 0.1250 0.3750
0.7500 0.6250 0.8750
0.8750 0.6250 0.2500
0.8750 0.7500 0.6250
0.0000 0.0000 0.0000
0.0000 0.0000 0.5000
0.0000 0.5000 0.0000
0.0000 0.5000 0.5000
0.1250 0.7500 0.8750
0.1250 0.8750 0.2500
0.2500 0.1250 0.8750
0.2500 0.6250 0.3750
0.3750 0.2500 0.6250
0.3750 0.6250 0.7500
0.5000 0.0000 0.0000
0.5000 0.0000 0.5000
0.5000 0.5000 0.0000
0.5000 0.5000 0.5000
0.6250 0.3750 0.2500
0.6250 0.7500 0.3750
0.7500 0.3750 0.6250
0.7500 0.8750 0.1250
0.8750 0.1250 0.7500
0.8750 0.2500 0.1250
0.0111 0.1931 0.1129
0.0111 0.3180 0.8983
0.0802 0.6931 0.6820
0.0802 0.8871 0.3983
0.1017 0.6129 0.4198
0.1017 0.9889 0.6820
0.1129 0.0111 0.1931
0.1129 0.6017 0.9198
0.1820 0.1931 0.5802
0.1820 0.4889 0.6017
0.1931 0.1129 0.0111
0.1931 0.5802 0.1820
0.3069 0.3180 0.9198
0.3069 0.4889 0.3871
0.3180 0.8983 0.0111
0.3180 0.9198 0.3069
0.3871 0.3069 0.4889
0.3871 0.5802 0.8983
0.3983 0.0802 0.8871
0.3983 0.8180 0.5111
0.4198 0.1017 0.6129
0.4198 0.8180 0.8069
0.4889 0.3871 0.3069
0.4889 0.6017 0.1820
0.5111 0.3983 0.8180
0.5111 0.6129 0.6931
0.5802 0.1820 0.1931
0.5802 0.8983 0.3871
0.6017 0.1820 0.4889
0.6017 0.9198 0.1129
0.6129 0.4198 0.1017
0.6129 0.6931 0.5111
0.6820 0.0802 0.6931
0.6820 0.1017 0.9889
0.6931 0.5111 0.6129
0.6931 0.6820 0.0802
0.8069 0.4198 0.8180
0.8069 0.8871 0.9889
0.8180 0.5111 0.3983
0.8180 0.8069 0.4198
0.8871 0.3983 0.0802
0.8871 0.9889 0.8069
0.8983 0.0111 0.3180
0.8983 0.3871 0.5802
0.9198 0.1129 0.6017
0.9198 0.3069 0.3180
0.9889 0.6820 0.1017
0.9889 0.8069 0.8871
```

***

(5)
A plane-wave DFT calculation with PBE-GGA was carried out for an optimized crystal structure of Zn2FeAs.

Properties
formation energy = 0.0991 eV per atom
DOS at the Fermi energy = 2.1 states/eV/cell

POSCAR file:
```
Zn2FeAs
1.0
1.4607 0.8433 8.2501
-1.4607 0.8433 8.2501
0.0000 -1.6866 8.2501
Zn Fe As
2 1 1
Direct
0.0000 0.0000 0.0000
0.2434 0.2434 0.2434
0.4982 0.4982 0.4982
0.7655 0.7655 0.7655
```

***

(6)
A plane-wave DFT calculation with PBE-GGA was carried out for an optimized crystal structure of YAs2Os.

Properties
polymorph energy (0 for the lowest one) = 617 meV/atom
formation energy = 0.0771 eV per atom
DOS at the Fermi energy = 2.9 states/eV/cell

POSCAR file:
```
YAs2Os
1.0
1.6540 0.9549 8.5710
-1.6540 0.9549 8.5710
0.0000 -1.9099 8.5710
Y As Os
1 2 1
Direct
0.0000 0.0000 0.0000
0.2449 0.2449 0.2449
0.4855 0.4855 0.4855
0.7563 0.7563 0.7563
```

***

(7)
A plane-wave DFT calculation with PBE-GGA was carried out for an optimized crystal structure of KAg4.

Properties
polymorph energy (0 for the lowest one) = 781 meV/atom
formation energy = 0.8969 eV per atom
DOS at the Fermi energy = 1.9 states/eV/cell

POSCAR file:
```
KAg4
1.0
-3.3467 3.3467 3.3467
3.3467 -3.3467 3.3467
3.3467 3.3467 -3.3467
K Ag
1 4
Direct
0.0000 0.0000 0.0000
0.0000 0.0000 0.5000
0.0000 0.5000 0.0000
0.5000 0.0000 0.0000
0.5000 0.5000 0.5000
```

***

(8)
A plane-wave DFT calculation with PBE-GGA was carried out for an optimized crystal structure of TiRuRh.

Properties
polymorph energy (0 for the lowest one) = 62 meV/atom
formation energy = -0.2946 eV per atom
DOS at the Fermi energy = 17.9 states/eV/cell

POSCAR file:
```
TiRuRh
1.0
-3.6042 5.4512 3.4313
3.6042 -5.4512 3.4313
3.6042 5.4512 -3.4313
Ti Ru Rh
6 6 6
Direct
0.1746 0.0343 0.2089
0.1746 0.4657 0.6403
0.4372 0.7587 0.1784
0.5803 0.2587 0.8216
0.8254 0.5343 0.3597
0.8254 0.9657 0.7911
0.2356 0.2870 0.8240
0.2356 0.9117 0.4487
0.4630 0.4117 0.1760
0.4630 0.7870 0.5513
0.7551 0.2551 0.5000
0.7551 0.7551 0.0000
0.0051 0.5324 0.9727
0.0433 0.3338 0.2095
0.1243 0.8338 0.7905
0.5106 0.4425 0.5682
0.5597 0.0324 0.0273
0.8743 0.9425 0.4318
```